VASP calculation (GGA-PBE) on an optimized crystal structure of NdDy6Er5.

Structure (POSCAR):
```
NdDy6Er5
1.0
6.0320 0.0000 1.0708
3.0160 5.3008 0.5354
-0.0173 0.0000 11.7249
Er Nd Dy
5 1 6
direct
0.1670 0.6660 0.5000
0.3333 0.3334 0.0000
0.8330 0.3340 0.5000
0.5000 0.0000 0.5000
0.6667 0.6666 0.0000
0.0000 0.0000 0.0000
0.4177 0.6659 0.7481
0.9164 0.6659 0.2519
0.2506 0.0000 0.2517
0.5823 0.3341 0.2519
0.7494 0.0000 0.7483
0.0836 0.3341 0.7481
```

Computed properties:
ρ, g cm⁻³: 8.660
Crystal system: monoclinic
Symmetry: C2/m (12)
M_tot, μB/f.u.: 0.0
Energy relative to the elements, eV/atom: 0.019

VASP calculation (GGA-PBE) on an optimized crystal structure of Nd3DyEr8.

Structure (POSCAR):
```
Nd3DyEr8
1.0
7.5552 -0.4285 -3.5495
-4.4012 6.9960 -1.2442
-0.2696 0.4285 8.3431
Nd Er Dy
3 8 1
direct
0.0000 0.5000 0.5000
0.5000 0.7500 0.2500
0.5000 0.2500 0.7500
0.4897 0.2347 0.2347
0.0000 0.8804 0.6288
0.7484 0.1196 0.1196
0.2516 0.3713 0.3713
0.0000 0.6287 0.8804
0.5103 0.7450 0.7450
0.0000 0.7653 0.2550
0.0000 0.2550 0.7653
0.0000 0.0000 0.0000
```

Computed properties:
ρ, g cm⁻³: 7.481
Crystal system: tetragonal
Symmetry: I-42m (121)
M_tot, μB/f.u.: 0.0
Energy relative to the elements, eV/atom: 0.636

VASP calculation (GGA-PBE) on an optimized crystal structure of Nd8DyEr2.

Structure (POSCAR):
```
Nd8DyEr2
1.0
6.3225 1.7968 1.3633
2.1256 9.6940 3.0822
2.1256 5.5787 8.5060
Nd Dy Er
8 1 2
direct
0.1680 0.7552 0.7552
0.2317 0.8257 0.3482
0.7683 0.1743 0.6518
0.2317 0.3482 0.8257
0.7251 0.5949 0.5949
0.2749 0.4051 0.4051
0.8320 0.2448 0.2448
0.7683 0.6518 0.1743
0.0000 0.0000 0.0000
0.4151 0.1966 0.1966
0.5849 0.8034 0.8034
```

Computed properties:
ρ, g cm⁻³: 7.215
Crystal system: monoclinic
Symmetry: C2/m (12)
M_tot, μB/f.u.: 0.0
Energy relative to the elements, eV/atom: 0.169

VASP calculation (GGA-PBE) on an optimized crystal structure of Nd2Dy5Er4.

Structure (POSCAR):
```
Nd2Dy5Er4
1.0
-1.8333 2.7860 -1.0073
-2.8582 -4.5019 -7.2497
-6.8152 -2.9987 10.1351
Dy Nd Er
5 2 4
direct
0.1411 0.3362 0.2823
0.8589 0.6638 0.7177
0.5000 0.0000 0.0000
0.1411 0.9461 0.2823
0.8589 0.0539 0.7177
0.7325 0.7325 0.4651
0.2675 0.2675 0.5349
0.4031 0.4031 0.8062
0.0000 0.3120 0.0000
0.5969 0.5969 0.1938
0.0000 0.6880 0.0000
```

Computed properties:
ρ, g cm⁻³: 8.072
Crystal system: orthorhombic
Symmetry: Immm (71)
M_tot, μB/f.u.: 0.0
Energy relative to the elements, eV/atom: 0.199